TbEr2PuSb4 | GGA-PBE | optimized geometry

Results
SG = P2/m, No. 10
Raw total energy = -52.39 eV for the cell shown

a b c (Å): 4.391 7.585 7.591
angles (deg): 70.53 90.00 90.00
Each line ends with the local moment (μB).
Positions (direct):
Tb 0.000 0.500 0.500  0.00
Er 0.000 0.000 0.000  0.01
Er 0.500 0.000 0.500  0.06
Pu 0.500 0.500 0.000  -5.19
Sb 0.000 0.754 0.749  0.06
Sb 0.000 0.246 0.251  0.06
Sb 0.500 0.754 0.249  0.03
Sb 0.500 0.246 0.751  0.03

---

TmLuSn | GGA-PBE | optimized geometry

Results
SG = I4mm, No. 107
E above lowest polymorph = 0 meV per atom
Energy of formation from the pure elements = -0.417 eV per atom

a b c (Å): 3.501 3.501 7.096
angles (deg): 104.28 104.28 90.00
Positions (direct):
Lu 0.675 0.675 0.351
Tm 0.992 0.992 0.984
Sn 0.333 0.333 0.666

---

MgBeRe2As | GGA-PBE | optimized geometry

Results
SG = P4/mmm, No. 123
Energy of formation from the pure elements = 0.863 eV per atom

a b c (Å): 4.226 4.319 4.226
angles (deg): 90.00 90.00 90.00
Positions (direct):
Re 0.000 0.000 0.500
Re 0.500 0.000 0.000
As 0.500 0.500 0.500
Mg 0.000 0.500 0.000
Be 0.000 0.000 0.000

---

Y3HgO | GGA-PBE | optimized geometry

Results
SG = P1, No. 1
E above lowest polymorph = 71 meV per atom

a b c (Å): 6.822 6.434 7.167
angles (deg): 98.59 62.12 111.57
Positions (direct):
Y 0.325 0.628 0.896
Y 0.746 0.191 0.980
Y 0.776 0.707 0.293
Y 0.189 0.263 0.412
Y 0.582 0.162 0.569
Y 0.931 0.695 0.730
Hg 0.358 0.796 0.306
Hg 0.175 0.123 0.992
O 0.948 0.554 0.992
O 0.872 0.332 0.656

---

CaDyTe4Pb2 | GGA-PBE | optimized geometry

Results
SG = P2/m, No. 10
Raw total energy = -33.52 eV for the cell shown

a b c (Å): 4.544 7.901 7.981
angles (deg): 70.69 90.00 90.00
Positions (direct):
Ca 0.500 0.500 0.000
Dy 0.000 0.500 0.500
Te 0.000 0.737 0.747
Te 0.000 0.263 0.253
Te 0.500 0.734 0.262
Te 0.500 0.266 0.738
Pb 0.000 0.000 0.000
Pb 0.500 0.000 0.500

---

PrSmPt4 | GGA-PBE | optimized geometry

Results
SG = F-43m, No. 216
Energy of formation from the pure elements = -1.065 eV per atom

a b c (Å): 5.513 5.513 5.513
angles (deg): 60.00 60.00 60.00
Positions (direct):
Pr 0.000 0.000 0.000
Sm 0.250 0.250 0.250
Pt 0.625 0.625 0.126
Pt 0.625 0.126 0.625
Pt 0.625 0.625 0.625
Pt 0.126 0.625 0.625

---

UInPt2 | GGA-PBE | optimized geometry

Results
SG = P6_3/mmc, No. 194
Energy of formation from the pure elements = -0.483 eV per atom

a b c (Å): 4.779 4.779 8.474
angles (deg): 90.00 90.00 120.00
Each line ends with the local moment (μB).
Positions (direct):
U 0.000 0.000 0.500  2.01
U 0.000 0.000 0.000  2.01
In 0.333 0.667 0.250  0.01
In 0.667 0.333 0.750  0.01
Pt 0.333 0.667 0.908  -0.07
Pt 0.667 0.333 0.092  -0.07
Pt 0.667 0.333 0.408  -0.07
Pt 0.333 0.667 0.592  -0.07

---

CdGa2Rh | GGA-PBE | optimized geometry

Results
SG = I-42d, No. 122
Energy of formation from the pure elements = -0.050 eV per atom

a b c (Å): 7.753 7.753 6.110
angles (deg): 50.62 50.62 90.00
Positions (direct):
Rh 0.500 0.500 0.000
Rh 0.250 0.750 0.500
Ga 0.550 0.125 0.250
Ga 0.200 0.625 0.250
Ga 0.375 0.450 0.750
Ga 0.875 0.800 0.750
Cd 0.000 0.000 0.000
Cd 0.750 0.250 0.500

---

Tb5Nd5Tm | GGA-PBE | optimized geometry

Results
SG = P-6m2, No. 187
Energy of formation from the pure elements = 0.293 eV per atom

a b c (Å): 6.149 6.149 11.688
angles (deg): 90.00 90.00 120.00
Positions (direct):
Tb 0.335 0.167 0.500
Tb 0.000 0.000 0.265
Tb 0.833 0.665 0.500
Tb 0.833 0.167 0.500
Tb 0.000 0.000 0.735
Nd 0.667 0.333 0.154
Nd 0.667 0.333 0.846
Nd 0.333 0.667 0.315
Nd 0.333 0.667 0.685
Nd 0.000 0.000 0.000
Tm 0.333 0.667 0.000

---

ScPd4Au2 | GGA-PBE | optimized geometry

Results
SG = I-4, No. 82
E above lowest polymorph = 205 meV per atom
Energy of formation from the pure elements = -0.287 eV per atom

a b c (Å): 6.874 6.874 6.874
angles (deg): 109.46 109.46 109.50
Positions (direct):
Sc 0.250 0.750 0.500
Sc 0.000 0.000 0.000
Pd 0.708 0.957 0.590
Pd 0.543 0.633 0.749
Pd 0.367 0.118 0.410
Pd 0.882 0.292 0.249
Pd 0.043 0.633 0.751
Pd 0.884 0.794 0.251
Pd 0.206 0.457 0.090
Pd 0.367 0.116 0.910
Au 0.625 0.501 0.375
Au 0.126 0.250 0.625
Au 0.750 0.375 0.876
Au 0.499 0.874 0.124

---

NbGa5Rh4 | GGA-PBE | optimized geometry

Results
SG = P4/mmm, No. 123
Energy of formation from the pure elements = -0.600 eV per atom

a b c (Å): 3.021 3.021 15.943
angles (deg): 90.00 90.00 90.00
Positions (direct):
Nb 0.000 0.000 0.000
Ga 0.500 0.500 0.117
Ga 0.500 0.500 0.307
Ga 0.500 0.500 0.500
Ga 0.500 0.500 0.693
Ga 0.500 0.500 0.883
Rh 0.000 0.000 0.212
Rh 0.000 0.000 0.404
Rh 0.000 0.000 0.596
Rh 0.000 0.000 0.788

---

TlRhIBr2 | GGA-PBE | optimized geometry

Results
SG = P4/mmm, No. 123
Raw total energy = -16.20 eV for the cell shown

a b c (Å): 5.182 5.182 5.474
angles (deg): 90.00 90.00 90.00
Positions (direct):
I 0.000 0.000 0.500
Tl 0.500 0.500 0.500
Rh 0.000 0.000 0.000
Br 0.000 0.500 0.000
Br 0.500 0.000 0.000